Below is a relaxed structure of VSiMo, with properties calculated at the PBE level.

```
VSiMo
1.0
-2.462 0.780 0.721
-1.321 -0.482 -3.989
-1.579 -7.204 1.392
Mo Si V
2 2 2
direct
0.669 0.750 0.084
0.331 0.250 0.916
0.461 0.250 0.281
0.539 0.750 0.719
0.896 0.250 0.583
0.104 0.750 0.417
```

Calculated values
Total energy ... -8.68 eV/atom
Space group ... P2_1/m (11)
Size of the total moment ... 0.00 Bohr magnetons per cell

Below is a relaxed structure of SrSb2Pb, with properties calculated at the PBE level.

```
SrSb2Pb
1.0
-1.789 -0.337 5.323
0.972 -4.656 3.004
3.711 0.104 4.227
Sb Pb Sr
2 1 1
direct
0.250 0.250 0.250
0.000 0.000 0.000
0.500 0.500 0.500
0.750 0.750 0.750
```

Calculated values
Total energy ... -3.62 eV/atom
Space group ... F-43m (216)
Size of the total moment ... 0.00 Bohr magnetons per cell

Below is a relaxed structure of Cd3IrS, with properties calculated at the PBE level.

```
Cd3IrS
1.0
-4.499 -0.554 -1.870
-1.608 -1.606 4.345
-1.104 4.600 1.292
Cd Ir S
3 1 1
direct
0.000 0.000 0.500
0.000 0.500 0.000
0.500 0.000 0.000
0.500 0.500 0.500
0.000 0.000 0.000
```

Calculated values
E above lowest polymorph ... 301 meV per atom
Space group ... Pm-3m (221)
Size of the total moment ... 0.00 Bohr magnetons per cell